1.
## SmB4Rh (PBE-GGA)

Data for a relaxed structure of SmB4Rh.

Results
For the formation energy from the elements, the calculation gives -0.5579 eV per atom.

Cell: 3.6271 6.0205 11.6704 Å, 90.00 90.00 90.00°
Element x y z (fractional)
B: 0.5000 0.4769 0.1913
B: 0.5000 0.1381 0.9683
B: 0.5000 0.3619 0.4683
B: 0.5000 0.8619 0.0317
B: 0.5000 0.2133 0.8137
B: 0.5000 0.2867 0.3137
B: 0.5000 0.8889 0.4539
B: 0.5000 0.3889 0.0461
B: 0.5000 0.1111 0.5461
B: 0.5000 0.9769 0.3087
B: 0.5000 0.0231 0.6913
B: 0.5000 0.5231 0.8087
B: 0.5000 0.7133 0.6863
B: 0.5000 0.6111 0.9539
B: 0.5000 0.6381 0.5317
B: 0.5000 0.7867 0.1863
Sm: 0.0000 0.3701 0.6489
Sm: 0.0000 0.8701 0.8511
Sm: 0.0000 0.6299 0.3511
Sm: 0.0000 0.1299 0.1489
Rh: 0.0000 0.1405 0.4061
Rh: 0.0000 0.6405 0.0939
Rh: 0.0000 0.8595 0.5939
Rh: 0.0000 0.3595 0.9061

---

2.
## SrZnSCl2 (PBE-GGA)

Data for a relaxed structure of SrZnSCl2.

Results
Its formation energy without anion corrections is -6.9 eV/f.u.

Cell: 4.8924 4.8924 4.8708 Å, 90.00 90.00 90.00°
Element x y z (fractional)
Cl: 0.5000 0.0000 0.0000
Cl: 0.0000 0.5000 0.0000
Zn: 0.0000 0.0000 0.0000
Sr: 0.5000 0.5000 0.5000
S: 0.0000 0.0000 0.5000

---

3.
## Li2Nd3Ga (PBE-GGA)

Data for a relaxed structure of Li2Nd3Ga.

Results
For the formation energy from the elements, the calculation gives -0.1488 eV per atom.

Cell: 5.3066 5.3066 13.0048 Å, 90.00 90.00 120.00°
Element x y z (fractional)
Li: 0.0000 0.0000 0.5000
Li: 0.3333 0.6667 0.1669
Li: 0.6667 0.3333 0.8331
Li: 0.0000 0.0000 0.0000
Ga: 0.3333 0.6667 0.6651
Ga: 0.6667 0.3333 0.3349
Nd: 0.6667 0.3333 0.0903
Nd: 0.0000 0.0000 0.2564
Nd: 0.3333 0.6667 0.4176
Nd: 0.6667 0.3333 0.5824
Nd: 0.0000 0.0000 0.7436
Nd: 0.3333 0.6667 0.9097

---

4.
## Li5Cu (PBE-GGA)

Data for a relaxed structure of Li5Cu.

Results
For the formation energy from the elements, the calculation gives 0.0256 eV per atom.

Cell: 3.1360 4.6272 7.3441 Å, 108.36 90.00 90.00°
Element x y z (fractional)
Li: 0.0000 0.3256 0.6513
Li: 0.5000 0.5000 0.0000
Li: 0.0000 0.6744 0.3487
Li: 0.5000 0.1457 0.2914
Li: 0.5000 0.8543 0.7086
Cu: 0.0000 0.0000 0.0000

---

5.
## Zn3SnC (PBE-GGA)

Data for a relaxed structure of Zn3SnC.

Results
For the formation energy from the elements, the calculation gives 0.6483 eV per atom.

Cell: 4.3272 4.3272 4.3272 Å, 90.00 90.00 90.00°
Element x y z (fractional)
C: 0.0000 0.0000 0.0000
Zn: 0.0000 0.0000 0.5000
Zn: 0.5000 0.0000 0.0000
Zn: 0.0000 0.5000 0.0000
Sn: 0.5000 0.5000 0.5000

---

6.
## PaGeHRh3 (PBE-GGA)

Data for a relaxed structure of PaGeHRh3.

Results
The electronic total energy comes out at -0.2634 hartree per atom.

Cell: 5.6562 5.6638 6.3006 Å, 116.71 90.00 90.00°
Element x y z (fractional)
Pa: 0.2500 0.7349 0.4698
Pa: 0.7500 0.2651 0.5302
H: 0.2500 0.9920 0.9839
H: 0.7500 0.0080 0.0161
Rh: 0.0000 0.2397 0.0000
Rh: 0.0000 0.7603 0.0000
Rh: 0.7500 0.8256 0.6512
Rh: 0.5000 0.2397 0.0000
Rh: 0.2500 0.1744 0.3488
Rh: 0.5000 0.7603 0.0000
Ge: 0.7500 0.6168 0.2337
Ge: 0.2500 0.3832 0.7663

---

7.
## UBrF2 (PBE-GGA)

Data for a relaxed structure of UBrF2.

Results
Its formation energy without anion corrections is -10.3 eV/f.u.

Cell: 4.1213 4.1213 5.7219 Å, 68.89 68.89 60.00°
Site moments in Bohr magnetons follow the coordinates.
Element x y z (fractional)
U: 0.0000 0.0000 0.0000  2.93
F: 0.7001 0.7001 0.8998  -0.01
F: 0.2999 0.2999 0.1002  -0.01
Br: 0.5000 0.5000 0.5000  -0.02

---

8.
## SrDyGaSn (PBE-GGA)

Data for a relaxed structure of SrDyGaSn.

Results
For the formation energy from the elements, the calculation gives -0.4491 eV per atom.

Cell: 5.4048 5.4048 5.4048 Å, 60.00 60.00 60.00°
Element x y z (fractional)
Ga: 0.7500 0.7500 0.7500
Sr: 0.0000 0.0000 0.0000
Sn: 0.2500 0.2500 0.2500
Dy: 0.5000 0.5000 0.5000

---

9.
## AcPu3P4N12 (PBE-GGA)

Data for a relaxed structure of AcPu3P4N12.

Results
Its formation energy without anion corrections is -13.4 eV/f.u.

Cell: 6.9267 6.9267 6.9267 Å, 103.31 103.31 103.31°
Site moments in Bohr magnetons follow the coordinates.
Element x y z (fractional)
P: 0.5000 0.9479 0.0521  0.02
P: 0.0521 0.5000 0.9479  0.02
P: 0.9479 0.0521 0.5000  0.02
P: 0.5000 0.5000 0.5000  0.03
Pu: 0.0000 0.5503 0.4497  4.10
Pu: 0.5503 0.4497 0.0000  4.10
Pu: 0.4497 0.0000 0.5503  4.10
N: 0.9048 0.5000 0.0952  -0.14
N: 0.6335 0.7928 0.0289  -0.08
N: 0.9711 0.2072 0.3665  -0.08
N: 0.6458 0.5000 0.3542  -0.12
N: 0.5000 0.3542 0.6458  -0.12
N: 0.3542 0.6458 0.5000  -0.12
N: 0.0289 0.6335 0.7928  -0.08
N: 0.2072 0.3665 0.9711  -0.08
N: 0.0952 0.9048 0.5000  -0.14
N: 0.3665 0.9711 0.2072  -0.08
N: 0.5000 0.0952 0.9048  -0.14
N: 0.7928 0.0289 0.6335  -0.08
Ac: 0.0000 0.0000 0.0000  0.00

---

10.
## BaNi13 (PBE-GGA)

Data for a relaxed structure of BaNi13.

Results
For the formation energy from the elements, the calculation gives 0.0381 eV per atom.

Cell: 8.0534 8.0534 8.0534 Å, 60.00 60.00 60.00°
Site moments in Bohr magnetons follow the coordinates.
Element x y z (fractional)
Ni: 0.9345 0.7073 0.0655  0.59
Ni: 0.4345 0.2073 0.7927  0.59
Ni: 0.5000 0.5000 0.5000  0.55
Ni: 0.5655 0.4345 0.7927  0.59
Ni: 0.5655 0.2073 0.4345  0.59
Ni: 0.2073 0.5655 0.7927  0.59
Ni: 0.4345 0.7927 0.5655  0.59
Ni: 0.2927 0.7073 0.9345  0.59
Ni: 0.0000 0.0000 0.0000  0.55
Ni: 0.7927 0.4345 0.2073  0.59
Ni: 0.2927 0.0655 0.7073  0.59
Ni: 0.7073 0.0655 0.9345  0.59
Ni: 0.9345 0.0655 0.2927  0.59
Ni: 0.7073 0.9345 0.2927  0.59
Ni: 0.0655 0.2927 0.9345  0.59
Ni: 0.4345 0.5655 0.2073  0.59
Ni: 0.7073 0.2927 0.0655  0.59
Ni: 0.0655 0.9345 0.7073  0.59
Ni: 0.2073 0.4345 0.5655  0.59
Ni: 0.0655 0.7073 0.2927  0.59
Ni: 0.7927 0.2073 0.5655  0.59
Ni: 0.2927 0.9345 0.0655  0.59
Ni: 0.7927 0.5655 0.4345  0.59
Ni: 0.2073 0.7927 0.4345  0.59
Ni: 0.5655 0.7927 0.2073  0.59
Ni: 0.9345 0.2927 0.7073  0.59
Ba: 0.2500 0.2500 0.2500  -0.04
Ba: 0.7500 0.7500 0.7500  -0.04

---

11.
## LaCoBr (PBE-GGA)

Data for a relaxed structure of LaCoBr.

Results
Its formation energy without anion corrections is -0.8 eV/f.u.

Cell: 6.0077 6.0090 3.6370 Å, 72.36 72.40 35.23°
Site moments in Bohr magnetons follow the coordinates.
Element x y z (fractional)
La: 0.6892 0.6892 0.3108  -0.21
Co: 0.3221 0.3221 0.6779  1.37
Br: 0.9887 0.9887 0.0113  0.02

---

12.
## Er6ZnTe3 (PBE-GGA)

Data for a relaxed structure of Er6ZnTe3.

Results
Its formation energy without anion corrections is -7.3 eV/f.u.

Cell: 3.9482 11.8889 12.6163 Å, 104.08 90.00 90.00°
Element x y z (fractional)
Zn: 0.2500 0.9593 0.3138
Zn: 0.7500 0.0407 0.6862
Er: 0.7500 0.9463 0.1335
Er: 0.2500 0.5811 0.8845
Er: 0.2500 0.8920 0.5409
Er: 0.7500 0.4856 0.6503
Er: 0.7500 0.4189 0.1155
Er: 0.2500 0.2402 0.6963
Er: 0.7500 0.7598 0.3037
Er: 0.2500 0.2099 0.2427
Er: 0.2500 0.0537 0.8665
Er: 0.7500 0.1080 0.4591
Er: 0.2500 0.5144 0.3497
Er: 0.7500 0.7901 0.7573
Te: 0.7500 0.6713 0.5134
Te: 0.2500 0.8403 0.9525
Te: 0.2500 0.3287 0.4866
Te: 0.7500 0.1597 0.0475
Te: 0.2500 0.6180 0.1388
Te: 0.7500 0.3820 0.8612

---

13.
## CaTa2GeO8 (PBE-GGA)

Data for a relaxed structure of CaTa2GeO8.

Results
Its formation energy without anion corrections is -30.5 eV/f.u.

Cell: 4.7840 4.7834 6.3476 Å, 89.53 89.53 86.23°
Element x y z (fractional)
O: 0.2047 0.8010 0.7896
O: 0.3251 0.3249 0.5043
O: 0.1989 0.7952 0.2104
O: 0.7953 0.1990 0.2104
O: 0.6973 0.6975 0.0017
O: 0.3027 0.3025 0.9983
O: 0.8011 0.2048 0.7896
O: 0.6749 0.6751 0.4957
Ca: 0.0000 0.0000 0.5000
Ta: 0.4838 0.4838 0.7550
Ta: 0.5162 0.5162 0.2450
Ge: 0.0000 0.0000 0.0000

---

14.
## Dy3Rh2Au3 (PBE-GGA)

Data for a relaxed structure of Dy3Rh2Au3.

Results
For the formation energy from the elements, the calculation gives -0.8581 eV per atom.

Cell: 3.6668 7.2640 7.2640 Å, 120.00 90.00 90.00°
Element x y z (fractional)
Au: 0.0000 0.0000 0.2308
Au: 0.0000 0.7692 0.7692
Au: 0.0000 0.2308 0.0000
Rh: 0.0000 0.3333 0.6667
Rh: 0.0000 0.6667 0.3333
Dy: 0.5000 0.0000 0.5950
Dy: 0.5000 0.4050 0.4050
Dy: 0.5000 0.5950 0.0000

---

15.
## LiCdRe2 (PBE-GGA)

Data for a relaxed structure of LiCdRe2.

Results
For the formation energy from the elements, the calculation gives 0.1973 eV per atom.

Cell: 3.1060 3.1060 6.6032 Å, 90.00 90.00 90.00°
Element x y z (fractional)
Re: 0.5000 0.5000 0.2059
Re: 0.0000 0.0000 0.0098
Cd: 0.0000 0.0000 0.5245
Li: 0.5000 0.5000 0.7598

---

16.
## CaTm2S4 (PBE-GGA)

Data for a relaxed structure of CaTm2S4.

Results
Its formation energy without anion corrections is -14.6 eV/f.u.

Cell: 3.8882 11.8944 13.9946 Å, 90.00 90.00 90.00°
Element x y z (fractional)
Tm: 0.2500 0.4123 0.9026
Tm: 0.7500 0.5613 0.6133
Tm: 0.2500 0.9123 0.5974
Tm: 0.7500 0.0877 0.4026
Tm: 0.7500 0.5877 0.0974
Tm: 0.2500 0.9387 0.1133
Tm: 0.2500 0.4387 0.3867
Tm: 0.7500 0.0613 0.8867
S: 0.2500 0.6295 0.9648
S: 0.7500 0.0919 0.0768
S: 0.7500 0.9650 0.7158
S: 0.2500 0.9081 0.9232
S: 0.2500 0.0350 0.2842
S: 0.7500 0.2970 0.3213
S: 0.2500 0.2030 0.8213
S: 0.7500 0.5919 0.4232
S: 0.2500 0.7030 0.6787
S: 0.7500 0.7970 0.1787
S: 0.7500 0.8705 0.4648
S: 0.7500 0.4650 0.7842
S: 0.2500 0.1295 0.5352
S: 0.7500 0.3705 0.0352
S: 0.2500 0.5350 0.2158
S: 0.2500 0.4081 0.5768
Ca: 0.2500 0.2557 0.1642
Ca: 0.7500 0.2443 0.6642
Ca: 0.2500 0.7557 0.3358
Ca: 0.7500 0.7443 0.8358

---

17.
## RbTlSbRh (PBE-GGA)

Data for a relaxed structure of RbTlSbRh.

Results
Its formation energy without anion corrections is -1.2 eV/f.u.

Cell: 4.3564 4.3564 13.8530 Å, 90.00 90.00 90.00°
Element x y z (fractional)
Sb: 0.7500 0.7500 0.8951
Sb: 0.2500 0.2500 0.1049
Rh: 0.7500 0.2500 0.0000
Rh: 0.2500 0.7500 0.0000
Tl: 0.7500 0.2500 0.5000
Tl: 0.2500 0.7500 0.5000
Rb: 0.2500 0.2500 0.7481
Rb: 0.7500 0.7500 0.2519

---

18.
## PrMg5Ga3 (PBE-GGA)

Data for a relaxed structure of PrMg5Ga3.

Results
For the formation energy from the elements, the calculation gives -0.1774 eV per atom.

Cell: 3.5420 7.7542 15.1000 Å, 90.00 90.00 103.20°
Element x y z (fractional)
Ga: 0.3744 0.7488 0.5716
Ga: 0.3744 0.7488 0.9284
Ga: 0.1560 0.3119 0.7500
Ga: 0.8440 0.6881 0.2500
Ga: 0.6256 0.2512 0.4284
Ga: 0.6256 0.2512 0.0716
Pr: 0.8373 0.6746 0.7500
Pr: 0.1627 0.3254 0.2500
Mg: 0.1942 0.3884 0.9318
Mg: 0.5416 0.0831 0.6544
Mg: 0.4584 0.9169 0.1544
Mg: 0.5416 0.0831 0.8456
Mg: 0.8058 0.6116 0.4318
Mg: 0.0000 0.0000 0.0000
Mg: 0.8058 0.6116 0.0682
Mg: 0.1942 0.3884 0.5682
Mg: 0.0000 0.0000 0.5000
Mg: 0.4584 0.9169 0.3456

---

19.
## NaMg2GeS4 (PBE-GGA)

Data for a relaxed structure of NaMg2GeS4.

Results
Its formation energy without anion corrections is -7.6 eV/f.u.

Cell: 6.4806 7.2529 8.3925 Å, 90.00 90.00 90.00°
Site moments in Bohr magnetons follow the coordinates.
Element x y z (fractional)
S: 0.9134 0.8427 0.0000  0.09
S: 0.8764 0.3416 0.2314  0.07
S: 0.4134 0.1573 0.5000  0.09
S: 0.3764 0.6584 0.2686  0.07
S: 0.3623 0.2130 0.0000  0.06
S: 0.8764 0.3416 0.7686  0.07
S: 0.8623 0.7870 0.5000  0.06
S: 0.3764 0.6584 0.7314  0.07
Ge: 0.9958 0.1822 0.0000  0.13
Ge: 0.4958 0.8178 0.5000  0.13
Mg: 0.9962 0.6647 0.7563  0.00
Mg: 0.9962 0.6647 0.2437  0.00
Mg: 0.4962 0.3353 0.7437  0.00
Mg: 0.4962 0.3353 0.2563  0.00
Na: 0.4834 0.8485 0.0000  0.00
Na: 0.9834 0.1515 0.5000  0.00

---

20.
## Ho8BTe3S3 (PBE-GGA)

Data for a relaxed structure of Ho8BTe3S3.

Results
Its formation energy without anion corrections is -20.2 eV/f.u.

Cell: 7.9668 7.9736 8.3918 Å, 118.37 89.99 119.99°
Element x y z (fractional)
Te: 0.0000 0.5000 0.0000
Te: 0.5000 0.5000 0.0000
Te: 0.0000 0.0000 0.0000
Ho: 0.2222 0.9773 0.6994
Ho: 0.2222 0.4442 0.6992
Ho: 0.7778 0.0227 0.3006
Ho: 0.2449 0.0227 0.3005
Ho: 0.2661 0.5319 0.2981
Ho: 0.7551 0.9773 0.6995
Ho: 0.7778 0.5558 0.3008
Ho: 0.7339 0.4681 0.7019
B: 0.0000 0.0000 0.5000
S: 0.5000 0.5000 0.5000
S: 0.0000 0.5000 0.5000
S: 0.5000 0.0000 0.5000